(1)
Material: PrHfAl4
Method: DFT, GGA-PBE
State: optimized geometry

Summary:
ΔH_f (0 K) in eV per atom: -0.38

Cell lengths 5.5086, 5.5086, 5.5086 Å; angles 60.00, 60.00, 60.00 degrees
Element x y z (fractional)
Pr: 0.2500 0.2500 0.2500
Hf: 0.0000 0.0000 0.0000
Al: 0.6256 0.6256 0.1232
Al: 0.6256 0.1232 0.6256
Al: 0.6256 0.6256 0.6256
Al: 0.1232 0.6256 0.6256


(2)
Material: Hf2AgSb
Method: DFT, GGA-PBE
State: optimized geometry

Summary:
Formation energy (no corrections) in meV/atom: 92

Cell lengths 7.7253, 7.7253, 6.2397 Å; angles 51.75, 51.75, 90.00 degrees
Element x y z (fractional)
Sb: 0.0000 0.0000 0.0000
Sb: 0.7500 0.2500 0.5000
Hf: 0.6159 0.1250 0.2500
Hf: 0.1341 0.6250 0.2500
Hf: 0.3750 0.3841 0.7500
Hf: 0.8750 0.8659 0.7500
Ag: 0.5000 0.5000 0.0000
Ag: 0.2500 0.7500 0.5000


(3)
Material: CrPt2Se
Method: DFT, GGA-PBE
State: optimized geometry

Summary:
Formation energy (no corrections) in meV/atom: 44

Cell lengths 5.3695, 5.3695, 5.3695 Å; angles 146.72, 130.12, 61.29 degrees
Last column: magnetic moment on the atom in μB.
Element x y z (fractional)
Cr: 0.2500 0.7500 0.5000  3.26
Pt: 0.9882 0.9882 0.0000  -0.01
Pt: 0.5118 0.5118 0.0000  -0.01
Se: 0.7500 0.2500 0.5000  -0.11


What is the formula in the first record?
PrHfAl4